Density functional theory data (PBEsol) for a relaxed P10Au7I crystal.

ΔE to the lowest computed polymorph	17.5	meV per atom
formation energy without anion corrections	-0.112	eV/atom

Unit cell a=6.1478 b=6.1478 c=11.2314 alpha=90.00 beta=90.00 gamma=120.00
Space group P-62m (No. 189)
Inequivalent atoms, fractional coordinates:
P: 0.0000 0.3754 0.2024
P: 0.3333 0.6667 0.2951
Au: 0.0000 0.0000 0.2321
Au: 0.0000 0.4571 0.0000
Au: 0.3333 0.6667 0.5000
I: 0.0000 0.0000 0.5000


Density functional theory data (PBEsol) for a relaxed P10Au7I crystal.

ΔE to the lowest computed polymorph	0.0	meV per atom
formation energy without anion corrections	-0.130	eV/atom

Unit cell a=6.1630 b=6.1630 c=11.0945 alpha=90.00 beta=90.00 gamma=120.00
Space group P-31m (No. 162)
Inequivalent atoms, fractional coordinates:
P: 0.0000 0.3745 0.3014
P: 0.3333 0.6667 0.2071
Au: 0.0000 0.0000 0.2730
Au: 0.0000 0.5000 0.5000
Au: 0.3333 0.6667 0.0000
I: 0.0000 0.0000 0.0000


Density functional theory data (PBEsol) for a relaxed P2AuSI crystal.

ΔE to the lowest computed polymorph	0.0	meV per atom
formation energy without anion corrections	0.914	eV/atom

Unit cell a=4.836 b=4.836 c=4.722 alpha=90.00 beta=90.00 gamma=90.00
Space group P4/mmm (No. 123)
Inequivalent atoms, fractional coordinates:
P: 0.000 0.500 0.000
Au: 0.000 0.000 0.000
S: 0.000 0.000 0.500
I: 0.500 0.500 0.500


Density functional theory data (PBEsol) for a relaxed PdPt2AuI crystal.

formation energy without anion corrections	1.230	eV/atom

Unit cell a=4.813 b=4.813 c=4.907 alpha=90.00 beta=90.00 gamma=90.00
Space group P4/mmm (No. 123)
Inequivalent atoms, fractional coordinates:
Pd: 0.000 0.000 0.000
Pt: 0.000 0.500 0.000
Au: 0.000 0.000 0.500
I: 0.500 0.500 0.500


Density functional theory data (PBEsol) for a relaxed RbAu3I crystal.

formation energy without anion corrections	0.418	eV/atom

Unit cell a=5.416 b=5.416 c=5.416 alpha=90.00 beta=90.00 gamma=90.00
Space group Pm-3m (No. 221)
Inequivalent atoms, fractional coordinates:
Rb: 0.000 0.000 0.000
Au: 0.000 0.500 0.500
I: 0.500 0.500 0.500


Density functional theory data (PBEsol) for a relaxed RbAu2SI crystal.

formation energy without anion corrections	0.486	eV/atom

Unit cell a=5.237 b=5.237 c=7.051 alpha=90.00 beta=90.00 gamma=90.00
Space group P4/mmm (No. 123)
Inequivalent atoms, fractional coordinates:
Rb: 0.000 0.000 0.000
Au: 0.000 0.500 0.500
S: 0.500 0.500 0.000
I: 0.000 0.000 0.500


Density functional theory data (PBEsol) for a relaxed Rb2TlAuI6 crystal.

formation energy without anion corrections	-0.686	eV/atom

Unit cell a=11.757 b=11.757 c=11.757 alpha=90.00 beta=90.00 gamma=90.00
Space group Fm-3m (No. 225)
Inequivalent atoms, fractional coordinates:
Rb: 0.250 0.250 0.250
Tl: 0.000 0.000 0.000
Au: 0.000 0.000 0.500
I: 0.000 0.000 0.260


Density functional theory data (PBEsol) for a relaxed ReAuI2 crystal.

formation energy without anion corrections	1.217	eV/atom

Unit cell a=6.902 b=6.902 c=6.902 alpha=90.00 beta=90.00 gamma=90.00
Space group Fm-3m (No. 225)
Inequivalent atoms, fractional coordinates:
Re: 0.000 0.000 0.000
Au: 0.000 0.000 0.500
I: 0.250 0.250 0.250


Density functional theory data (PBEsol) for a relaxed TeRhAuI2 crystal.

formation energy without anion corrections	1.102	eV/atom

Unit cell a=5.421 b=5.421 c=5.386 alpha=90.00 beta=90.00 gamma=90.00
Space group P4/mmm (No. 123)
Inequivalent atoms, fractional coordinates:
Te: 0.000 0.000 0.000
Rh: 0.500 0.500 0.000
Au: 0.000 0.000 0.500
I: 0.000 0.500 0.500


Density functional theory data (PBEsol) for a relaxed SbTeAuI2 crystal.

formation energy without anion corrections	0.399	eV/atom

Unit cell a=5.395 b=5.395 c=5.463 alpha=90.00 beta=90.00 gamma=90.00
Space group P4/mmm (No. 123)
Inequivalent atoms, fractional coordinates:
Sb: 0.000 0.000 0.000
Te: 0.500 0.500 0.000
Au: 0.500 0.500 0.500
I: 0.000 0.500 0.500


Density functional theory data (PBEsol) for a relaxed SbTe2AuI crystal.

formation energy without anion corrections	0.810	eV/atom

Unit cell a=5.674 b=5.674 c=5.671 alpha=90.00 beta=90.00 gamma=90.00
Space group P4/mmm (No. 123)
Inequivalent atoms, fractional coordinates:
Sb: 0.000 0.000 0.000
Te: 0.000 0.500 0.000
Au: 0.500 0.500 0.500
I: 0.000 0.000 0.500


Density functional theory data (PBEsol) for a relaxed TiSb2AuI crystal.

formation energy without anion corrections	0.839	eV/atom

Unit cell a=5.265 b=5.265 c=5.493 alpha=90.00 beta=90.00 gamma=90.00
Space group P4/mmm (No. 123)
Inequivalent atoms, fractional coordinates:
Ti: 0.000 0.000 0.000
Sb: 0.000 0.500 0.500
Au: 0.500 0.500 0.500
I: 0.500 0.500 0.000


Which formula does entry 10 have?
SbTeAuI2


The lowest formation energy without anion corrections belongs to which entry?
Rb2TlAuI6